First-principles (PBE) data for crystalline YTcPCN at its relaxed geometry, as listed in the Alexandria database.

Output
Its energy above the lowest structure with this stoichiometry is 0.0 meV/atom. The volume is 15.04 A^3/atom. Its crystal system is monoclinic. The value obtained for the density is 5.4 g/cm³. As for the uncorrected formation energy: -0.508 eV per atom. The total moment comes out at 0.00 Bohr magnetons per cell.

```
5
Lattice="-0.416 3.096 0.955 -3.019 -0.694 0.936 2.580 -3.050 6.058" Properties=species:S:1:pos:R:3 pbc="T T T"
P -0.042 -1.034 4.691
N -0.081 1.633 0.951
C 0.335 1.419 2.134
Y 0.915 -3.107 6.242
Tc 0.950 1.072 3.861
```